The following is a DFT calculation (PBE with a Hubbard U) of a geometry-optimized NbFeC2O structure.

a = 3.837 Å, b = 3.837 Å, c = 3.615 Å
α = 90.00°, β = 90.00°, γ = 90.00°
Fractional coordinates of all 5 atoms:
Nb 0.000 0.000 0.000
Fe 0.500 0.500 0.500
C 0.000 0.500 0.500
C 0.500 0.000 0.500
O 0.500 0.500 0.000

Calculated values
VASP energy in eV for the cell shown: -33.88
M_tot in μB per cell: 3.18
Symmetry: P4/mmm